[1]
Computed, not measured: an optimized crystal structure of Hg2Ru at the GGA-PBE level of DFT.

Properties
crystal system = hexagonal
DOS at the Fermi energy = 7.48 states/eV per cell
DFT formation energy = 0.99 eV/atom
magnetization = 0.6356 μB per atom

CIF file:
```
data_Hg2Ru
_chemical_formula_sum 'Hg8 Ru4'
_cell_length_a 5.5702
_cell_length_b 5.5702
_cell_length_c 9.1064
_cell_angle_alpha 90.00
_cell_angle_beta 90.00
_cell_angle_gamma 120.00
_space_group_name_H-M_alt 'P 63/m m c'
_space_group_IT_number 194
_space_group_name_Hall '-P 6c 2c'
loop_
_atom_site_label
_atom_site_fract_x
_atom_site_fract_y
_atom_site_fract_z
_atom_site_occupancy
Hg1 0.0000 0.0000 0.0000 1
Hg2 0.1719 0.3437 0.2500 1
Ru1 0.3333 0.6667 0.5475 1
```

=====

[2]
Computed, not measured: an optimized crystal structure of CaZn2Hg at the GGA-PBE level of DFT.

Properties
crystal system = monoclinic
DOS at the Fermi energy = 3.24 states/eV per cell
DFT formation energy = -0.02 eV/atom
magnetization = 0.0000 μB per atom

CIF file:
```
data_CaZn2Hg
_chemical_formula_sum 'Ca2 Zn4 Hg2'
_cell_length_a 6.094
_cell_length_b 10.204
_cell_length_c 3.368
_cell_angle_alpha 90.00
_cell_angle_beta 118.40
_cell_angle_gamma 90.00
_space_group_name_H-M_alt 'C 1 2/m 1'
_space_group_IT_number 12
_space_group_name_Hall '-C 2y'
loop_
_atom_site_label
_atom_site_fract_x
_atom_site_fract_y
_atom_site_fract_z
_atom_site_occupancy
Ca1 0.000 0.000 0.000 1
Zn1 0.250 0.250 0.500 1
Hg1 0.000 0.500 0.000 1
```

=====

[3]
Computed, not measured: an optimized crystal structure of La2AlNi at the GGA-PBE level of DFT.

Properties
crystal system = tetragonal
DOS at the Fermi energy = 4.45 states/eV per cell
DFT formation energy = -0.19 eV/atom
magnetization = 0.0000 μB per atom

CIF file:
```
data_La2AlNi
_chemical_formula_sum 'La2 Al1 Ni1'
_cell_length_a 3.262
_cell_length_b 3.262
_cell_length_c 8.912
_cell_angle_alpha 90.00
_cell_angle_beta 90.00
_cell_angle_gamma 90.00
_space_group_name_H-M_alt 'P 4 m m'
_space_group_IT_number 99
_space_group_name_Hall 'P 4 -2'
loop_
_atom_site_label
_atom_site_fract_x
_atom_site_fract_y
_atom_site_fract_z
_atom_site_occupancy
La1 0.000 0.000 0.000 1
La2 0.500 0.500 0.382 1
Al1 0.500 0.500 0.735 1
Ni1 0.000 0.000 0.612 1
```

=====

[4]
Computed, not measured: an optimized crystal structure of V2Sb2W at the GGA-PBE level of DFT.

Properties
crystal system = tetragonal
DOS at the Fermi energy = 6.74 states/eV per cell
magnetization = 0.0000 μB per atom
formation energy without anion corrections = 4.83 eV/f.u.
offset from the most stable computed form = 0.5098 eV per atom

CIF file:
```
data_V2Sb2W
_chemical_formula_sum 'V4 Sb4 W2'
_cell_length_a 3.896
_cell_length_b 3.896
_cell_length_c 12.944
_cell_angle_alpha 90.00
_cell_angle_beta 90.00
_cell_angle_gamma 90.00
_space_group_name_H-M_alt 'I 4/m m m'
_space_group_IT_number 139
_space_group_name_Hall '-I 4 2'
loop_
_atom_site_label
_atom_site_fract_x
_atom_site_fract_y
_atom_site_fract_z
_atom_site_occupancy
V1 0.000 0.000 0.086 1
Sb1 0.000 0.500 0.250 1
W1 0.000 0.000 0.500 1
```

=====

[5]
Computed, not measured: an optimized crystal structure of LaTm4Rh5 at the GGA-PBE level of DFT.

Properties
crystal system = tetragonal
DOS at the Fermi energy = 5.01 states/eV per cell
DFT formation energy = -0.89 eV/atom
magnetization = 0.0000 μB per atom

CIF file:
```
data_LaTm4Rh5
_chemical_formula_sum 'La1 Tm4 Rh5'
_cell_length_a 3.368
_cell_length_b 3.368
_cell_length_c 17.609
_cell_angle_alpha 90.00
_cell_angle_beta 90.00
_cell_angle_gamma 90.00
_space_group_name_H-M_alt 'P 4/m m m'
_space_group_IT_number 123
_space_group_name_Hall '-P 4 2'
loop_
_atom_site_label
_atom_site_fract_x
_atom_site_fract_y
_atom_site_fract_z
_atom_site_occupancy
La1 0.000 0.000 0.000 1
Tm1 0.000 0.000 0.208 1
Tm2 0.000 0.000 0.403 1
Rh1 0.500 0.500 0.115 1
Rh2 0.500 0.500 0.306 1
Rh3 0.500 0.500 0.500 1
```

=====

[6]
Computed, not measured: an optimized crystal structure of ZrUCu2O8 at the GGA-PBE level of DFT.

Properties
crystal system = tetragonal
DOS at the Fermi energy = 12.63 states/eV per cell
magnetization = 0.3011 μB per atom
formation energy without anion corrections = -22.02 eV/f.u.

CIF file:
```
data_ZrUCu2O8
_chemical_formula_sum 'Zr2 U2 Cu4 O16'
_cell_length_a 6.701
_cell_length_b 6.701
_cell_length_c 6.726
_cell_angle_alpha 90.00
_cell_angle_beta 90.00
_cell_angle_gamma 90.00
_space_group_name_H-M_alt 'I -4 m 2'
_space_group_IT_number 119
_space_group_name_Hall 'I -4 -2'
loop_
_atom_site_label
_atom_site_fract_x
_atom_site_fract_y
_atom_site_fract_z
_atom_site_occupancy
Zr1 0.000 0.000 0.000 1
U1 0.000 0.500 0.250 1
Cu1 0.000 0.000 0.500 1
Cu2 0.000 0.500 0.750 1
O1 0.000 0.188 0.290 1
O2 0.000 0.315 0.954 1
```

=====

[7]
Computed, not measured: an optimized crystal structure of La2ZrCr at the GGA-PBE level of DFT.

Properties
crystal system = cubic
DOS at the Fermi energy = 48.48 states/eV per cell
DFT formation energy = 0.70 eV/atom
magnetization = 0.0001 μB per atom
offset from the most stable computed form = 0.4170 eV per atom

CIF file:
```
data_La2ZrCr
_chemical_formula_sum 'La8 Zr4 Cr4'
_cell_length_a 7.360
_cell_length_b 7.360
_cell_length_c 7.360
_cell_angle_alpha 90.00
_cell_angle_beta 90.00
_cell_angle_gamma 90.00
_space_group_name_H-M_alt 'F m -3 m'
_space_group_IT_number 225
_space_group_name_Hall '-F 4 2 3'
loop_
_atom_site_label
_atom_site_fract_x
_atom_site_fract_y
_atom_site_fract_z
_atom_site_occupancy
La1 0.250 0.250 0.250 1
Zr1 0.000 0.000 0.000 1
Cr1 0.000 0.000 0.500 1
```

=====

[8]
Computed, not measured: an optimized crystal structure of Re3C at the GGA-PBE level of DFT.

Properties
crystal system = tetragonal
DOS at the Fermi energy = 5.07 states/eV per cell
DFT formation energy = 1.41 eV/atom
magnetization = 0.0000 μB per atom
offset from the most stable computed form = 1.4269 eV per atom

CIF file:
```
data_Re3C
_chemical_formula_sum 'Re6 C2'
_cell_length_a 3.557
_cell_length_b 3.557
_cell_length_c 8.470
_cell_angle_alpha 90.00
_cell_angle_beta 90.00
_cell_angle_gamma 90.00
_space_group_name_H-M_alt 'I 4/m m m'
_space_group_IT_number 139
_space_group_name_Hall '-I 4 2'
loop_
_atom_site_label
_atom_site_fract_x
_atom_site_fract_y
_atom_site_fract_z
_atom_site_occupancy
Re1 0.000 0.000 0.000 1
Re2 0.000 0.500 0.250 1
C1 0.000 0.000 0.500 1
```

=====

[9]
Computed, not measured: an optimized crystal structure of CsLaF2 at the GGA-PBE level of DFT.

Properties
crystal system = cubic
DOS at the Fermi energy = 20.41 states/eV per cell
magnetization = 0.0007 μB per atom
formation energy without anion corrections = -7.27 eV/f.u.
offset from the most stable computed form = 0.7858 eV per atom

CIF file:
```
data_CsLaF2
_chemical_formula_sum 'Cs4 La4 F8'
_cell_length_a 6.883
_cell_length_b 6.883
_cell_length_c 6.883
_cell_angle_alpha 90.00
_cell_angle_beta 90.00
_cell_angle_gamma 90.00
_space_group_name_H-M_alt 'F m -3 m'
_space_group_IT_number 225
_space_group_name_Hall '-F 4 2 3'
loop_
_atom_site_label
_atom_site_fract_x
_atom_site_fract_y
_atom_site_fract_z
_atom_site_occupancy
Cs1 0.000 0.000 0.000 1
La1 0.000 0.000 0.500 1
F1 0.250 0.250 0.250 1
```

=====

[10]
Computed, not measured: an optimized crystal structure of Sm2Er5Sc12 at the GGA-PBE level of DFT.

Properties
crystal system = monoclinic
DOS at the Fermi energy = 60.73 states/eV per cell
DFT formation energy = 0.14 eV/atom
magnetization = 0.0000 μB per atom

CIF file:
```
data_Sm2Er5Sc12
_chemical_formula_sum 'Sm4 Er10 Sc24'
_cell_length_a 15.004
_cell_length_b 8.616
_cell_length_c 8.091
_cell_angle_alpha 90.00
_cell_angle_beta 92.13
_cell_angle_gamma 90.00
_space_group_name_H-M_alt 'C 1 2/m 1'
_space_group_IT_number 12
_space_group_name_Hall '-C 2y'
loop_
_atom_site_label
_atom_site_fract_x
_atom_site_fract_y
_atom_site_fract_z
_atom_site_occupancy
Sm1 0.000 0.192 0.000 1
Er1 0.000 0.500 0.500 1
Er2 0.201 0.000 0.003 1
Er3 0.237 0.500 0.580 1
Sc1 0.052 0.000 0.332 1
Sc2 0.093 0.500 0.881 1
Sc3 0.127 0.190 0.650 1
Sc4 0.155 0.321 0.250 1
```

=====

[11]
Computed, not measured: an optimized crystal structure of NbHg2Br5 at the GGA-PBE level of DFT.

Properties
crystal system = monoclinic
DOS at the Fermi energy = 2.46 states/eV per cell
magnetization = 0.0000 μB per atom
formation energy without anion corrections = -4.86 eV/f.u.

CIF file:
```
data_NbHg2Br5
_chemical_formula_sum 'Nb2 Hg4 Br10'
_cell_length_a 11.739
_cell_length_b 9.889
_cell_length_c 6.335
_cell_angle_alpha 90.00
_cell_angle_beta 122.58
_cell_angle_gamma 90.00
_space_group_name_H-M_alt 'C 1 m 1'
_space_group_IT_number 8
_space_group_name_Hall 'C -2y'
loop_
_atom_site_label
_atom_site_fract_x
_atom_site_fract_y
_atom_site_fract_z
_atom_site_occupancy
Nb1 0.000 0.000 0.000 1
Hg1 0.000 0.500 0.149 1
Hg2 0.000 0.500 0.649 1
Br1 0.000 0.000 0.621 1
Br2 0.173 0.172 0.275 1
Br3 0.327 0.327 0.930 1
```

=====

[12]
Computed, not measured: an optimized crystal structure of Pm2HgRhC at the GGA-PBE level of DFT.

Properties
crystal system = tetragonal
DOS at the Fermi energy = 3.35 states/eV per cell
DFT formation energy = -0.44 eV/atom
magnetization = 0.0000 μB per atom

CIF file:
```
data_Pm2HgRhC
_chemical_formula_sum 'Pm2 Hg1 Rh1 C1'
_cell_length_a 5.249
_cell_length_b 5.249
_cell_length_c 3.920
_cell_angle_alpha 90.00
_cell_angle_beta 90.00
_cell_angle_gamma 90.00
_space_group_name_H-M_alt 'P 4/m m m'
_space_group_IT_number 123
_space_group_name_Hall '-P 4 2'
loop_
_atom_site_label
_atom_site_fract_x
_atom_site_fract_y
_atom_site_fract_z
_atom_site_occupancy
Pm1 0.000 0.500 0.000 1
Hg1 0.000 0.000 0.500 1
Rh1 0.500 0.500 0.500 1
C1 0.500 0.500 0.000 1
```